# 1
Material: InAs2Cl
Method: DFT, PBE
State: relaxed Values from VASP.

## Properties
Energy above the most stable polymorph in this dataset: 0.252 eV per atom
Total DFT energy (no corrections): -3.556 eV/atom
ΔE_f (raw): -85 meV/atom
Size of the total moment: 0.00 μB per formula unit
N(E_F): 1.26 states/eV/cell

```
&SYSTEM
  ibrav = 0, nat = 4, ntyp = 3
/
ATOMIC_SPECIES
Cl 35.45 Cl.upf
As 74.92 As.upf
In 114.82 In.upf
ATOMIC_POSITIONS crystal
Cl 0.000 0.000 0.533
As 0.000 0.000 0.038
As 0.500 0.500 0.205
In 0.500 0.500 0.724
CELL_PARAMETERS angstrom
-2.256 2.002 -1.628
-1.326 -2.238 2.231
0.791 6.914 7.406
```

# 2
Material: InAsCl
Method: DFT, PBE
State: relaxed Values from VASP.

## Properties
Energy above the most stable polymorph in this dataset: 1.012 eV per atom
Total DFT energy (no corrections): -2.559 eV/atom
ΔE_f (raw): 519 meV/atom
Size of the total moment: 0.00 μB per formula unit
N(E_F): 3.88 states/eV/cell

```
&SYSTEM
  ibrav = 0, nat = 3, ntyp = 3
/
ATOMIC_SPECIES
Cl 35.45 Cl.upf
As 74.92 As.upf
In 114.82 In.upf
ATOMIC_POSITIONS crystal
Cl 0.750 0.750 0.750
As 0.500 0.500 0.500
In 0.000 0.000 0.000
CELL_PARAMETERS angstrom
-0.200 3.571 3.321
-3.582 0.053 3.314
0.992 -0.962 4.681
```